Material: PRu
Method: DFT, PBE-GGA
State: relaxed

Summary:
E_form: -0.1428 eV per atom
V: 13.98 Å³/atom
energy above the lowest structure with this stoichiometry: 418.5 meV/atom

a b c (Å): 2.9678 2.9678 21.9959
angles (deg): 90.00 90.00 120.00
Space group R-3m (No. 166, hexagonal axes)
Symmetry-distinct sites (fractional):
P: 0.0000 0.0000 0.1241 (multiplicity 6)
Ru: 0.0000 0.0000 0.3871 (multiplicity 6)



Material: NdHfZnN3
Method: DFT, PBE-GGA
State: relaxed

Summary:
V: 14.04 Å³/atom
E_form (uncorrected): -95.5 kJ/mol of atoms

a b c (Å): 6.969 3.337 7.424
angles (deg): 90.00 102.70 90.00
Space group P2_1/m (No. 11)
Symmetry-distinct sites (fractional):
Nd: 0.196 0.250 0.226 (multiplicity 2)
Hf: 0.339 0.750 0.858 (multiplicity 2)
Zn: 0.113 0.250 0.595 (multiplicity 2)
N: 0.133 0.250 0.869 (multiplicity 2)
N: 0.214 0.750 0.496 (multiplicity 2)
N: 0.440 0.750 0.145 (multiplicity 2)



Material: Pu3ScU2P6
Method: DFT, PBE-GGA
State: relaxed

Summary:
E_form: -1.1519 eV per atom
V: 21.61 Å³/atom

a b c (Å): 6.827 11.828 6.813
angles (deg): 90.00 109.52 90.00
Space group C2/m (No. 12)
Symmetry-distinct sites (fractional):
Pu: 0.000 0.000 0.000 (multiplicity 2)
Pu: 0.000 0.333 0.000 (multiplicity 4)
Sc: 0.000 0.500 0.500 (multiplicity 2)
U: 0.000 0.166 0.500 (multiplicity 4)
P: 0.245 0.335 0.741 (multiplicity 8)
P: 0.249 0.500 0.257 (multiplicity 4)



Material: GaHPd3
Method: DFT, PBE-GGA
State: relaxed

Summary:
V: 17.36 Å³/atom
energy above the lowest structure with this stoichiometry: 414.2 meV/atom

a b c (Å): 5.522 12.714 4.945
angles (deg): 90.00 90.00 90.00
Space group Cmcm (No. 63)
Symmetry-distinct sites (fractional):
Ga: 0.000 0.172 0.250 (multiplicity 4)
H: 0.000 0.404 0.250 (multiplicity 4)
Pd: 0.000 0.000 0.000 (multiplicity 4)
Pd: 0.241 0.169 0.750 (multiplicity 8)



Material: NaZnCd2Au4
Method: DFT, PBE-GGA
State: relaxed

Summary:
E_form: -0.1999 eV per atom
V: 18.92 Å³/atom

a b c (Å): 4.7846 4.7846 22.9004
angles (deg): 90.00 90.00 120.00
Space group R-3m (No. 166, hexagonal axes)
Symmetry-distinct sites (fractional):
Na: 0.0000 0.0000 0.0000 (multiplicity 3)
Zn: 0.0000 0.0000 0.5000 (multiplicity 3)
Cd: 0.0000 0.0000 0.2573 (multiplicity 6)
Au: 0.0000 0.0000 0.1320 (multiplicity 6)
Au: 0.0000 0.0000 0.3849 (multiplicity 6)



Material: Dy5Tl4Co
Method: DFT, PBE-GGA
State: relaxed

Summary:
E_form: -0.1802 eV per atom
V: 27.69 Å³/atom

a b c (Å): 10.273 10.273 5.247
angles (deg): 90.00 90.00 90.00
Space group I4/m (No. 87)
Symmetry-distinct sites (fractional):
Dy: 0.000 0.000 0.000 (multiplicity 2)
Dy: 0.171 0.821 0.500 (multiplicity 8)
Tl: 0.002 0.674 0.000 (multiplicity 8)
Co: 0.000 0.000 0.500 (multiplicity 2)